Model w:
10
Lattice="3.875 0.000 0.000 -1.937 3.356 0.000 0.000 0.000 12.697" Properties=species:S:1:pos:R:3 comment="Hf2NiAsP (PBE, relaxed)" rho_g_cm3=10.49 pbc="T T T"
Hf 0.000 2.237 1.335
Hf 0.000 2.237 5.013
Hf 1.937 1.119 7.684
Hf 1.937 1.119 11.362
Ni 0.000 0.000 3.174
Ni 0.000 0.000 9.523
As 0.000 2.237 9.523
As 1.937 1.119 3.174
P 0.000 0.000 0.000
P 0.000 0.000 6.349


Model x:
10
Lattice="3.809 0.000 0.000 -1.904 3.299 0.000 0.000 0.000 13.072" Properties=species:S:1:pos:R:3 comment="Hf2NiAsP (PBE, relaxed)" rho_g_cm3=10.55 pbc="T T T"
Hf 0.000 2.199 1.525
Hf 0.000 2.199 5.010
Hf 1.904 1.100 8.061
Hf 1.904 1.100 11.546
Ni 0.000 0.000 3.268
Ni 0.000 0.000 9.804
As 0.000 0.000 0.000
As 0.000 0.000 6.536
P 0.000 2.199 9.804
P 1.904 1.100 3.268


model x is preferred energetically. Next in line: 0.038 eV/atom higher.